# 1
Material: LaNd7Rh2
Method: DFT, PBE-GGA
State: optimized geometry

a b c (Å): 8.881 14.692 5.496
angles (deg): 90.00 90.00 90.00
Space group Cmmm (No. 65)
Unique sites:
La: 0.000 0.000 0.000 [2 per cell]
Nd: 0.000 0.293 0.000 [4 per cell]
Nd: 0.000 0.500 0.500 [2 per cell]
Nd: 0.191 0.133 0.500 [8 per cell]
Rh: 0.000 0.299 0.500 [4 per cell]

ΔE_f	-0.097	eV per atom
N(E_F)	1.344	states/eV per atom
E	-5.398	eV/atom


# 2
Material: TaBi2Os
Method: DFT, PBE-GGA
State: optimized geometry

a b c (Å): 6.925 6.925 6.925
angles (deg): 90.00 90.00 90.00
Space group Fm-3m (No. 225)
Unique sites:
Ta: 0.000 0.000 0.000 [4 per cell]
Bi: 0.250 0.250 0.250 [8 per cell]
Os: 0.000 0.000 0.500 [4 per cell]

ΔE_f	0.900	eV per atom
N(E_F)	1.126	states/eV per atom
polymorph energy (0 for the lowest one)	0	meV/atom
E	-6.811	eV/atom


# 3
Material: Hf5Ru4Rh
Method: DFT, PBE-GGA
State: optimized geometry

a b c (Å): 3.253 3.253 16.194
angles (deg): 90.00 90.00 90.00
Space group P4/mmm (No. 123)
Unique sites:
Hf: 0.000 0.000 0.000 [1 per cell]
Hf: 0.000 0.000 0.200 [2 per cell]
Hf: 0.000 0.000 0.399 [2 per cell]
Ru: 0.500 0.500 0.100 [2 per cell]
Ru: 0.500 0.500 0.301 [2 per cell]
Rh: 0.500 0.500 0.500 [1 per cell]

ΔE_f	-0.822	eV per atom
N(E_F)	0.501	states/eV per atom
E	-10.244	eV/atom


# 4
Material: AgRh4Au
Method: DFT, PBE-GGA
State: optimized geometry

a b c (Å): 7.314 7.314 7.314
angles (deg): 90.00 90.00 90.00
Space group F-43m (No. 216)
Unique sites:
Ag: 0.000 0.000 0.000 [4 per cell]
Rh: 0.125 0.125 0.375 [16 per cell]
Au: 0.250 0.250 0.750 [4 per cell]

ΔE_f	0.383	eV per atom
N(E_F)	1.760	states/eV per atom
E	-5.540	eV/atom


# 5
Material: AcCePmTm
Method: DFT, PBE-GGA
State: optimized geometry

a b c (Å): 8.280 8.280 8.280
angles (deg): 90.00 90.00 90.00
Space group F-43m (No. 216)
Unique sites:
Ac: 0.000 0.000 0.000 [4 per cell]
Ce: 0.250 0.250 0.250 [4 per cell]
Pm: 0.000 0.000 0.500 [4 per cell]
Tm: 0.250 0.250 0.750 [4 per cell]

ΔE_f	0.225	eV per atom
N(E_F)	2.803	states/eV per atom
E	-4.591	eV/atom


# 6
Material: Li3Mo
Method: DFT, PBE-GGA
State: optimized geometry

a b c (Å): 2.396 9.743 5.436
angles (deg): 90.00 90.00 90.00
Space group Imm2 (No. 44)
Unique sites:
Li: 0.000 0.000 0.000 [2 per cell]
Li: 0.000 0.248 0.265 [4 per cell]
Mo: 0.000 0.500 0.999 [2 per cell]

ΔE_f	0.433	eV per atom
N(E_F)	0.721	states/eV per atom
polymorph energy (0 for the lowest one)	201	meV/atom
E	-3.710	eV/atom


# 7
Material: AlFeTcNi2
Method: DFT, PBE-GGA
State: optimized geometry

a b c (Å): 4.210 4.210 4.334
angles (deg): 90.00 90.00 90.00
Space group P4/mmm (No. 123)
Unique sites:
Al: 0.000 0.000 0.000 [1 per cell]
Fe: 0.000 0.000 0.500 [1 per cell]
Tc: 0.500 0.500 0.000 [1 per cell]
Ni: 0.000 0.500 0.500 [2 per cell]

ΔE_f	0.983	eV per atom
N(E_F)	0.923	states/eV per atom
polymorph energy (0 for the lowest one)	0	meV/atom
E	-5.844	eV/atom


# 8
Material: Hg3TeCl
Method: DFT, PBE-GGA
State: optimized geometry

a b c (Å): 5.478 5.478 5.478
angles (deg): 90.00 90.00 90.00
Space group Pm-3m (No. 221)
Unique sites:
Hg: 0.000 0.000 0.500 [3 per cell]
Te: 0.500 0.500 0.500 [1 per cell]
Cl: 0.000 0.000 0.000 [1 per cell]

N(E_F)	0.664	states/eV per atom
polymorph energy (0 for the lowest one)	364	meV/atom
E	-0.857	eV/atom


Question: What is the formula in the third record?
Answer: Hf5Ru4Rh


Question: Which value of N(E_F) does entry 8 give?
Answer: 0.664 states/eV per atom


Question: Which of these has the lowest N(E_F)?
Answer: Hf5Ru4Rh


Question: Look up the N(E_F) of the sixth one.
Answer: 0.721 states/eV per atom